No. 1
# TlAgSe2

Crystalline TlAgSe2 at its relaxed geometry (GGA-PBE, the Alexandria database).

The calculation puts the raw formation energy at -16.2 kJ per mole of atoms.

Lattice parameters (Å, degrees): 8.9866 9.5352 5.5110 90.00 109.54 90.00
Atoms (fractional coordinates):
Tl 0.0000 0.1463 0.2500
Tl 0.0000 0.8537 0.7500
Tl 0.5000 0.3537 0.7500
Tl 0.5000 0.6463 0.2500
Ag 0.0000 0.4593 0.7500
Ag 0.0000 0.5407 0.2500
Ag 0.5000 0.0407 0.2500
Ag 0.5000 0.9593 0.7500
Se 0.2429 0.3619 0.1100
Se 0.2429 0.6381 0.6100
Se 0.2571 0.1381 0.8900
Se 0.2571 0.8619 0.3900
Se 0.7429 0.1381 0.6100
Se 0.7429 0.8619 0.1100
Se 0.7571 0.3619 0.3900
Se 0.7571 0.6381 0.8900


No. 2
# NiAgGe2

Crystalline NiAgGe2 at its relaxed geometry (GGA-PBE, the Alexandria database).

The calculation puts the energy of formation from the pure elements at 0.035 eV/atom.

Lattice parameters (Å, degrees): 3.0106 3.0106 25.8837 90.00 90.00 120.00
Atoms (fractional coordinates):
Ni 0.0000 0.0000 0.0000
Ni 0.3333 0.6667 0.6667
Ni 0.6667 0.3333 0.3333
Ag 0.0000 0.0000 0.5000
Ag 0.3333 0.6667 0.1667
Ag 0.6667 0.3333 0.8333
Ge 0.0000 0.0000 0.4007
Ge 0.0000 0.0000 0.5993
Ge 0.3333 0.6667 0.0673
Ge 0.3333 0.6667 0.2660
Ge 0.6667 0.3333 0.7340
Ge 0.6667 0.3333 0.9327


No. 3
# CuSnHIr2

Crystalline CuSnHIr2 at its relaxed geometry (GGA-PBE, the Alexandria database).

The electronic total energy comes out at -0.42744 Ry/atom.

Lattice parameters (Å, degrees): 4.0878 4.0878 3.8237 90.00 90.00 90.00
Atoms (fractional coordinates):
Cu 0.0000 0.0000 0.0000
Sn 0.5000 0.5000 0.0000
H 0.0000 0.0000 0.5000
Ir 0.0000 0.5000 0.5000
Ir 0.5000 0.0000 0.5000


No. 4
# Ti2AlHRu

Crystalline Ti2AlHRu at its relaxed geometry (GGA-PBE, the Alexandria database).

The electronic total energy comes out at -0.50598 Ry/atom.

Lattice parameters (Å, degrees): 4.0912 4.0912 3.7876 90.00 90.00 90.00
Atoms (fractional coordinates):
Ti 0.0000 0.5000 0.0000
Ti 0.5000 0.0000 0.0000
Al 0.0000 0.0000 0.5000
H 0.5000 0.5000 0.0000
Ru 0.5000 0.5000 0.5000


No. 5
# TaNiSb

Crystalline TaNiSb at its relaxed geometry (GGA-PBE, the Alexandria database).

The calculation puts the raw formation energy at 13.5 kJ per mole of atoms.

Lattice parameters (Å, degrees): 12.2089 3.7382 4.7126 90.00 90.00 90.00
Atoms (fractional coordinates):
Ta 0.1410 0.0000 0.0000
Ta 0.1410 0.5000 0.5000
Ta 0.8590 0.0000 0.0000
Ta 0.8590 0.5000 0.5000
Ni 0.0000 0.0000 0.5081
Ni 0.0000 0.5000 0.0081
Ni 0.5000 0.0000 0.3825
Ni 0.5000 0.5000 0.8825
Sb 0.3319 0.0000 0.6767
Sb 0.3319 0.5000 0.1767
Sb 0.6681 0.0000 0.6767
Sb 0.6681 0.5000 0.1767


No. 6
# PmEr4Tm8

Crystalline PmEr4Tm8 at its relaxed geometry (GGA-PBE, the Alexandria database).

The calculation puts the energy of formation from the pure elements at 0.217 eV/atom.

Lattice parameters (Å, degrees): 7.2023 7.2023 9.8100 111.49 111.49 60.06
Atoms (fractional coordinates):
Pm 0.0000 0.0000 0.0000
Er 0.0000 0.0000 0.5000
Er 0.0000 0.5000 0.5000
Er 0.5000 0.0000 0.5000
Er 0.5000 0.5000 0.5000
Tm 0.2505 0.2505 0.1945
Tm 0.2506 0.6933 0.1941
Tm 0.2814 0.2814 0.8449
Tm 0.3067 0.7494 0.8059
Tm 0.6933 0.2506 0.1941
Tm 0.7186 0.7186 0.1551
Tm 0.7494 0.3067 0.8059
Tm 0.7495 0.7495 0.8055


No. 7
# FeH2W2

Crystalline FeH2W2 at its relaxed geometry (GGA-PBE, the Alexandria database).

The electronic total energy comes out at -0.58687 Ry/atom.

Lattice parameters (Å, degrees): 2.8474 2.8474 11.8934 90.00 90.00 90.00
Atoms (fractional coordinates):
Fe 0.0000 0.0000 0.0000
Fe 0.5000 0.5000 0.5000
H 0.0000 0.5000 0.2500
H 0.0000 0.5000 0.7500
H 0.5000 0.0000 0.2500
H 0.5000 0.0000 0.7500
W 0.0000 0.0000 0.3605
W 0.0000 0.0000 0.6395
W 0.5000 0.5000 0.1395
W 0.5000 0.5000 0.8605


No. 8
# CuAuSe

Crystalline CuAuSe at its relaxed geometry (GGA-PBE, the Alexandria database).

The calculation puts the raw formation energy at 18.1 kJ per mole of atoms.

Lattice parameters (Å, degrees): 2.8417 3.5357 10.3829 90.00 90.00 90.00
Atoms (fractional coordinates):
Cu 0.0000 0.0000 0.0000
Cu 0.5000 0.5000 0.5000
Au 0.0000 0.0000 0.6533
Au 0.5000 0.5000 0.1533
Se 0.0000 0.0000 0.3622
Se 0.5000 0.5000 0.8622


No. 9
# AcSmGa2

Crystalline AcSmGa2 at its relaxed geometry (GGA-PBE, the Alexandria database).

The calculation puts the energy of formation from the pure elements at -0.500 eV/atom.

Lattice parameters (Å, degrees): 3.8025 3.8025 7.4871 90.00 90.00 90.00
Atoms (fractional coordinates):
Ac 0.0000 0.0000 0.0000
Sm 0.0000 0.0000 0.5000
Ga 0.5000 0.5000 0.2778
Ga 0.5000 0.5000 0.7222


No. 10
# Zr2Mn3Mo

Crystalline Zr2Mn3Mo at its relaxed geometry (GGA-PBE, the Alexandria database).

The calculation puts the energy of formation from the pure elements at -0.167 eV/atom.

Lattice parameters (Å, degrees): 5.0249 5.0249 5.0249 62.25 62.25 62.25
Atoms (fractional coordinates):
Zr 0.1253 0.1253 0.1253
Zr 0.8747 0.8747 0.8747
Mn 0.0000 0.5000 0.5000
Mn 0.5000 0.0000 0.5000
Mn 0.5000 0.5000 0.0000
Mo 0.5000 0.5000 0.5000


No. 11
# SrZn2Ir

Crystalline SrZn2Ir at its relaxed geometry (GGA-PBE, the Alexandria database).

The calculation puts the energy of formation from the pure elements at 0.002 eV/atom.

Lattice parameters (Å, degrees): 6.7392 6.7392 6.7392 90.00 90.00 90.00
Atoms (fractional coordinates):
Sr 0.0000 0.0000 0.0000
Sr 0.0000 0.5000 0.5000
Sr 0.5000 0.0000 0.5000
Sr 0.5000 0.5000 0.0000
Zn 0.2500 0.2500 0.2500
Zn 0.2500 0.2500 0.7500
Zn 0.2500 0.7500 0.2500
Zn 0.2500 0.7500 0.7500
Zn 0.7500 0.2500 0.2500
Zn 0.7500 0.2500 0.7500
Zn 0.7500 0.7500 0.2500
Zn 0.7500 0.7500 0.7500
Ir 0.0000 0.0000 0.5000
Ir 0.0000 0.5000 0.0000
Ir 0.5000 0.0000 0.0000
Ir 0.5000 0.5000 0.5000


No. 12
# AgRh2Pb

Crystalline AgRh2Pb at its relaxed geometry (GGA-PBE, the Alexandria database).

The calculation puts the energy of formation from the pure elements at 0.253 eV/atom.

Lattice parameters (Å, degrees): 6.5336 6.5336 6.5336 90.00 90.00 90.00
Atoms (fractional coordinates):
Ag 0.0000 0.0000 0.0000
Ag 0.0000 0.5000 0.5000
Ag 0.5000 0.0000 0.5000
Ag 0.5000 0.5000 0.0000
Rh 0.0000 0.0000 0.5000
Rh 0.0000 0.5000 0.0000
Rh 0.2500 0.2500 0.7500
Rh 0.2500 0.7500 0.2500
Rh 0.5000 0.0000 0.0000
Rh 0.5000 0.5000 0.5000
Rh 0.7500 0.2500 0.2500
Rh 0.7500 0.7500 0.7500
Pb 0.2500 0.2500 0.2500
Pb 0.2500 0.7500 0.7500
Pb 0.7500 0.2500 0.7500
Pb 0.7500 0.7500 0.2500


No. 13
# InCu2HPt

Crystalline InCu2HPt at its relaxed geometry (GGA-PBE, the Alexandria database).

The electronic total energy comes out at -0.30394 Ry/atom.

Lattice parameters (Å, degrees): 4.0568 4.0568 3.8616 90.00 90.00 90.00
Atoms (fractional coordinates):
In 0.0000 0.0000 0.0000
Cu 0.0000 0.5000 0.5000
Cu 0.5000 0.0000 0.5000
H 0.5000 0.5000 0.5000
Pt 0.5000 0.5000 0.0000


No. 14
# TaBiRhO6

Crystalline TaBiRhO6 at its relaxed geometry (GGA-PBE, the Alexandria database).

The calculation puts the raw formation energy at -154.0 kJ per mole of atoms.

Lattice parameters (Å, degrees): 4.8941 4.8941 9.7937 90.00 90.00 90.00
Atoms (fractional coordinates):
Ta 0.0000 0.0000 0.0000
Ta 0.5000 0.5000 0.5000
Bi 0.0000 0.0000 0.6681
Bi 0.5000 0.5000 0.1681
Rh 0.0000 0.0000 0.3394
Rh 0.5000 0.5000 0.8394
O 0.1716 0.1716 0.1687
O 0.2074 0.2074 0.4878
O 0.2083 0.2083 0.8607
O 0.2917 0.7083 0.3607
O 0.2926 0.7074 0.9878
O 0.3284 0.6716 0.6687
O 0.6716 0.3284 0.6687
O 0.7074 0.2926 0.9878
O 0.7083 0.2917 0.3607
O 0.7917 0.7917 0.8607
O 0.7926 0.7926 0.4878
O 0.8284 0.8284 0.1687


No. 15
# Co2ReAu

Crystalline Co2ReAu at its relaxed geometry (GGA-PBE, the Alexandria database).

The calculation puts the energy of formation from the pure elements at 0.297 eV/atom.

Lattice parameters (Å, degrees): 8.5216 2.6906 4.8845 90.00 99.05 90.00
Atoms (fractional coordinates):
Co 0.2444 0.0000 0.2084
Co 0.2556 0.5000 0.7916
Co 0.7444 0.5000 0.2084
Co 0.7556 0.0000 0.7916
Re 0.0000 0.5000 0.0000
Re 0.5000 0.0000 0.0000
Au 0.0000 0.0000 0.5000
Au 0.5000 0.5000 0.5000


No. 16
# ScAlRu2

Crystalline ScAlRu2 at its relaxed geometry (GGA-PBE, the Alexandria database).

The calculation puts the energy of formation from the pure elements at -0.267 eV/atom.

Lattice parameters (Å, degrees): 3.2249 3.2249 6.0785 90.00 90.00 90.00
Atoms (fractional coordinates):
Sc 0.0000 0.0000 0.0000
Al 0.5000 0.5000 0.3057
Ru 0.0000 0.0000 0.4889
Ru 0.5000 0.5000 0.7738


No. 17
# AlCrRu3

Crystalline AlCrRu3 at its relaxed geometry (GGA-PBE, the Alexandria database).

The calculation puts the energy of formation from the pure elements at 1.360 eV/atom.

Lattice parameters (Å, degrees): 4.3331 4.3331 4.3331 90.00 90.00 90.00
Atoms (fractional coordinates):
Al 0.0000 0.0000 0.0000
Cr 0.5000 0.5000 0.5000
Ru 0.0000 0.0000 0.5000
Ru 0.0000 0.5000 0.0000
Ru 0.5000 0.0000 0.0000


No. 18
# ZrCu2Ir

Crystalline ZrCu2Ir at its relaxed geometry (GGA-PBE, the Alexandria database).

The calculation puts the energy of formation from the pure elements at -0.100 eV/atom.

Lattice parameters (Å, degrees): 5.3418 7.2967 3.1011 90.00 90.00 90.00
Atoms (fractional coordinates):
Zr 0.0000 0.0000 0.0000
Zr 0.5000 0.5000 0.0000
Cu 0.2500 0.2500 0.5000
Cu 0.2500 0.7500 0.5000
Cu 0.7500 0.2500 0.5000
Cu 0.7500 0.7500 0.5000
Ir 0.0000 0.5000 0.0000
Ir 0.5000 0.0000 0.0000


No. 19
# Zn2FeSiW

Crystalline Zn2FeSiW at its relaxed geometry (GGA-PBE, the Alexandria database).

The calculation puts the raw formation energy at 101.1 kJ per mole of atoms.

Lattice parameters (Å, degrees): 4.4399 4.4399 4.2121 90.00 90.00 90.00
Atoms (fractional coordinates):
Zn 0.0000 0.5000 0.0000
Zn 0.5000 0.0000 0.0000
Fe 0.0000 0.0000 0.0000
Si 0.0000 0.0000 0.5000
W 0.5000 0.5000 0.5000


No. 20
# TeRu2

Crystalline TeRu2 at its relaxed geometry (GGA-PBE, the Alexandria database).

The calculation puts the raw formation energy at 32.8 kJ per mole of atoms.

Lattice parameters (Å, degrees): 4.4609 4.4609 5.6681 90.00 90.00 120.00
Atoms (fractional coordinates):
Te 0.3333 0.6667 0.2500
Te 0.6667 0.3333 0.7500
Ru 0.0000 0.0000 0.0000
Ru 0.0000 0.0000 0.5000
Ru 0.3333 0.6667 0.7500
Ru 0.6667 0.3333 0.2500


Quick rundown of magnetic moment, same order as above: 0.00, 0.00, 0.00, 0.00, 0.00, 0.00, 1.13, 0.00, 0.00, 3.05, 0.00, 0.28, 0.00, 1.09, 4.01, 0.00, 0.15, 0.00, 3.65, 0.00 μB per cell